[1]
A plane-wave DFT calculation with GGA-PBEsol was carried out for a geometry-optimized BeAuCl2 structure.

abc: 3.5737 3.5737 6.4823
angles: 106.00 106.00 90.00
Element x y z (fractional)
Be: 0.2500 0.7500 0.5000
Cl: 0.7500 0.2500 0.5000
Cl: 0.0000 0.0000 0.0000
Au: 0.5000 0.5000 0.0000

- uncorrected formation energy (eV/atom) = 0.317
- energy above the most stable polymorph in this dataset (eV per atom) = 0.9096


[2]
A plane-wave DFT calculation with GGA-PBEsol was carried out for a geometry-optimized K3Rb5Te4H24S4O40 structure.

abc: 6.5831 11.3653 13.3775
angles: 72.83 89.90 89.91
Element x y z (fractional)
Te: 0.4974 0.4995 0.9975
Te: 0.4994 0.0007 0.5007
Te: 0.0009 0.4994 0.5014
Te: 0.0011 0.0018 0.9993
O: 0.5701 0.3245 0.8033
O: 0.2791 0.2568 0.7225
O: 0.0061 0.3904 0.1674
O: 0.7349 0.5691 0.4581
O: 0.0934 0.9154 0.1397
O: 0.6256 0.2378 0.6615
O: 0.1256 0.2623 0.3374
O: 0.5080 0.1051 0.8304
O: 0.8551 0.1182 0.0531
O: 0.7640 0.8964 0.0181
O: 0.5861 0.8540 0.4664
O: 0.2329 0.9315 0.5431
O: 0.0684 0.1703 0.1991
O: 0.6109 0.9303 0.6399
O: 0.2599 0.6043 0.9770
O: 0.7783 0.2413 0.2789
O: 0.9289 0.8242 0.8047
O: 0.7658 0.0699 0.4583
O: 0.4463 0.6699 0.2023
O: 0.0872 0.6456 0.5361
O: 0.1159 0.5697 0.3628
O: 0.8730 0.7401 0.6613
O: 0.3529 0.3819 0.9452
O: 0.2669 0.4298 0.5443
O: 0.7244 0.7490 0.2833
O: 0.5910 0.5867 0.8575
O: 0.3726 0.7639 0.3380
O: 0.4064 0.4128 0.1384
O: 0.9916 0.6053 0.8286
O: 0.8873 0.4286 0.6402
O: 0.6395 0.6184 0.0494
O: 0.2385 0.1069 0.9797
O: 0.9083 0.0899 0.8594
O: 0.9143 0.3536 0.4659
O: 0.4118 0.1473 0.5347
O: 0.1475 0.8857 0.9452
O: 0.4930 0.8922 0.1681
O: 0.2196 0.7586 0.7216
O: 0.3884 0.0707 0.3612
O: 0.7358 0.3947 0.0174
S: 0.9931 0.2655 0.2457
S: 0.4941 0.2316 0.7545
S: 0.0048 0.7328 0.7541
S: 0.5104 0.7683 0.2477
Rb: 0.5003 0.5992 0.6388
Rb: 0.4990 0.4014 0.3613
Rb: 0.0176 0.6612 0.1383
Rb: 0.9986 0.0990 0.6395
Rb: 0.0031 0.9042 0.3612
H: 0.7550 0.0862 0.8579
H: 0.4408 0.3591 0.8910
H: 0.1673 0.5927 0.9206
H: 0.6715 0.9062 0.0754
H: 0.2588 0.3612 0.6132
H: 0.4897 0.8282 0.4179
H: 0.2404 0.8630 0.6121
H: 0.7443 0.5845 0.8560
H: 0.0105 0.3272 0.4173
H: 0.5087 0.1740 0.5827
H: 0.7581 0.1378 0.3889
H: 0.3309 0.0948 0.9232
H: 0.2530 0.4124 0.1401
H: 0.2911 0.1395 0.3610
H: 0.0592 0.8617 0.8922
H: 0.5581 0.6374 0.1073
H: 0.8271 0.4043 0.0750
H: 0.9414 0.1383 0.1089
H: 0.7441 0.6400 0.3908
H: 0.2112 0.6391 0.3629
H: 0.7086 0.8618 0.6397
H: 0.9893 0.6735 0.5830
H: 0.7898 0.3603 0.6396
H: 0.2469 0.9148 0.1411
K: 0.4800 0.1643 0.1354
K: 0.9803 0.3357 0.8634
K: 0.5190 0.8347 0.8643

- total energy (eV per atom) = -5.464


[3]
A plane-wave DFT calculation with GGA-PBEsol was carried out for a geometry-optimized Co2HgOsPb structure.

abc: 4.6493 4.6493 4.9889
angles: 90.00 90.00 90.00
Last column: magnetic moment on the atom in μB.
Element x y z (fractional)
Hg: 0.5000 0.5000 0.5000  -0.03
Co: 0.0000 0.5000 0.0000  1.48
Co: 0.5000 0.0000 0.0000  1.48
Pb: 0.0000 0.0000 0.0000  -0.07
Os: 0.0000 0.0000 0.5000  0.65

- formation energy (eV/f.u.) = 10.59